No. 1
SiPtSe2: relaxed, GGA-PBE.

Cell lengths 4.571, 4.571, 4.569 Å; angles 71.30, 71.30, 111.04 degrees
Atoms (fractional coordinates):
Pt1 0.000 0.500 0.500
Se1 0.000 0.000 0.000
Se2 0.500 0.500 0.000
Si1 0.500 0.000 0.500

Results
D(E_F) in states/eV/cell: 1.38
M_tot in Bohr magnetons per cell: 0.00
Uncorrected energy in eV/atom: -4.665
Space-group type: I4/mmm

No. 2
Sc2BiTe: relaxed, GGA-PBE.

Cell lengths 4.216, 4.216, 7.305 Å; angles 73.30, 73.30, 59.95 degrees
Atoms (fractional coordinates):
Sc1 0.250 0.250 0.250
Sc2 0.750 0.750 0.750
Bi1 0.000 0.000 0.000
Te1 0.500 0.500 0.500

Results
D(E_F) in states/eV/cell: 2.26
M_tot in Bohr magnetons per cell: 0.00
Uncorrected energy in eV/atom: -5.815
Space-group type: C2/m

No. 3
SmCo6Sn12: relaxed, GGA-PBE.

Cell lengths 7.709, 7.709, 7.709 Å; angles 106.18, 106.18, 106.18 degrees
Atoms (fractional coordinates):
Sm1 0.000 0.000 0.000
Co1 0.698 0.276 0.276
Co2 0.276 0.276 0.698
Co3 0.276 0.698 0.276
Co4 0.724 0.724 0.302
Co5 0.302 0.724 0.724
Co6 0.724 0.302 0.724
Sn1 0.879 0.121 0.500
Sn2 0.849 0.591 0.591
Sn3 0.591 0.591 0.849
Sn4 0.409 0.151 0.409
Sn5 0.409 0.409 0.151
Sn6 0.151 0.409 0.409
Sn7 0.121 0.500 0.879
Sn8 0.500 0.879 0.121
Sn9 0.121 0.879 0.500
Sn10 0.879 0.500 0.121
Sn11 0.500 0.121 0.879
Sn12 0.591 0.849 0.591

Results
D(E_F) in states/eV/cell: 17.84
M_tot in Bohr magnetons per cell: 0.00
Formation energy in eV/f.u.: 0.90
Uncorrected energy in eV/atom: -4.973
Space-group type: R-3m

No. 4
Ba2AcF: relaxed, GGA-PBE.

Cell lengths 4.096, 4.096, 11.356 Å; angles 79.61, 79.61, 60.00 degrees
Site moments in Bohr magnetons follow the coordinates.
Atoms (fractional coordinates):
Ac1 0.000 0.000 0.000  0.07
Ba1 0.117 0.117 0.648  0.22
Ba2 0.883 0.883 0.352  0.22
F1 0.500 0.500 0.500  0.03

Results
D(E_F) in states/eV/cell: 5.01
M_tot in Bohr magnetons per cell: 1.47
Uncorrected energy in eV/atom: -3.524
Space-group type: R-3m

No. 5
Cu7HgAu12: relaxed, GGA-PBE.

Cell lengths 7.362, 7.362, 7.362 Å; angles 106.84, 106.84, 106.84 degrees
Atoms (fractional coordinates):
Cu1 0.097 0.665 0.977
Cu2 0.335 0.023 0.903
Cu3 0.023 0.903 0.335
Cu4 0.500 0.500 0.500
Cu5 0.977 0.097 0.665
Cu6 0.665 0.977 0.097
Cu7 0.903 0.335 0.023
Hg1 0.000 0.000 0.000
Au1 0.774 0.345 0.645
Au2 0.655 0.355 0.226
Au3 0.400 0.020 0.286
Au4 0.980 0.714 0.600
Au5 0.355 0.226 0.655
Au6 0.714 0.600 0.980
Au7 0.286 0.400 0.020
Au8 0.645 0.774 0.345
Au9 0.020 0.286 0.400
Au10 0.600 0.980 0.714
Au11 0.345 0.645 0.774
Au12 0.226 0.655 0.355

Results
D(E_F) in states/eV/cell: 6.78
M_tot in Bohr magnetons per cell: 0.00
Formation energy in eV/f.u.: 0.49
Uncorrected energy in eV/atom: -3.391
Space-group type: R-3

No. 6
HfHIrPt2: relaxed, GGA-PBE.

Cell lengths 4.045, 4.045, 4.109 Å; angles 90.00, 90.00, 90.00 degrees
Atoms (fractional coordinates):
H1 0.000 0.000 0.000
Ir1 0.000 0.000 0.500
Hf1 0.500 0.500 0.500
Pt1 0.000 0.500 0.000
Pt2 0.500 0.000 0.000

Results
D(E_F) in states/eV/cell: 0.45
M_tot in Bohr magnetons per cell: 0.00
Uncorrected energy in eV/atom: -7.505
Space-group type: P4/mmm